{
  "formula": "Ba5CrN4F2",
  "functional": "PBE+U",
  "state": "relaxed",
  "lattice_angstrom": [[7.877, 0.000, 0.000], [0.000, 5.117, 3.227], [0.000, -5.117, 3.227]],
  "species": ["Ba", "Ba", "Ba", "Ba", "Ba", "Cr", "N", "N", "N", "N", "F", "F"],
  "fractional_positions": [[0.000, 0.000, 0.000], [0.283, 0.307, 0.672], [0.283, 0.672, 0.307], [0.717, 0.307, 0.672], [0.717, 0.672, 0.307], [0.500, 0.011, 0.011], [0.298, 0.184, 0.184], [0.500, 0.678, 0.979], [0.500, 0.979, 0.678], [0.702, 0.184, 0.184], [0.000, 0.540, 0.976], [0.000, 0.976, 0.540]],
  "space_group": "Amm2, No. 38",
  "crystal_system": "orthorhombic",
  "e_tot_ev_per_atom": -5.6587,
  "volume_a3_per_atom": 21.68
}